1.
The following is a DFT calculation (PBE-GGA) of an optimized crystal structure of FeIr2PtBr.

Output
Size of the total moment: 4.1 μB per formula unit
Theoretical density: 12.0 Mg/m³
Energy relative to the elements, uncorrected: 1827 meV/atom
Density of states at the Fermi level: 8.37 states/eV/cell

Structure (CIF):
```
data_FeIr2PtBr
_cell_length_a 4.5971
_cell_length_b 4.5971
_cell_length_c 4.6975
_cell_angle_alpha 90.00
_cell_angle_beta 90.00
_cell_angle_gamma 90.00
_space_group_name_H-M_alt 'P 4/m m m'
_space_group_IT_number 123
_space_group_name_Hall '-P 4 2'
loop_
_atom_site_label
_atom_site_type_symbol
_atom_site_fract_x
_atom_site_fract_y
_atom_site_fract_z
_atom_site_occupancy
Fe1 Fe 0.0000 0.0000 0.0000 1
Ir1 Ir 0.0000 0.5000 0.5000 1
Pt1 Pt 0.5000 0.5000 0.0000 1
Br1 Br 0.5000 0.5000 0.5000 1
```

---

2.
The following is a DFT calculation (PBE-GGA) of an optimized crystal structure of YHfMgZn.

Output
Size of the total moment: 0.0 μB per formula unit
Theoretical density: 6.8 Mg/m³
ΔE_f: -0.011 eV/atom
Density of states at the Fermi level: 15.61 states/eV/cell

Structure (CIF):
```
data_YHfMgZn
_cell_length_a 7.0536
_cell_length_b 7.0536
_cell_length_c 7.0536
_cell_angle_alpha 90.00
_cell_angle_beta 90.00
_cell_angle_gamma 90.00
_space_group_name_H-M_alt 'F -4 3 m'
_space_group_IT_number 216
_space_group_name_Hall 'F -4 2 3'
loop_
_atom_site_label
_atom_site_type_symbol
_atom_site_fract_x
_atom_site_fract_y
_atom_site_fract_z
_atom_site_occupancy
Y1 Y 0.0000 0.0000 0.0000 1
Hf1 Hf 0.0000 0.0000 0.5000 1
Mg1 Mg 0.2500 0.2500 0.2500 1
Zn1 Zn 0.2500 0.2500 0.7500 1
```

---

3.
The following is a DFT calculation (PBE-GGA) of an optimized crystal structure of Co2PdPt6.

Output
Size of the total moment: 6.1 μB per formula unit
Excess energy over the best structure of this formula in the dataset: 0 meV per atom
Theoretical density: 17.4 Mg/m³
ΔE_f: -0.061 eV/atom
Density of states at the Fermi level: 20.71 states/eV/cell

Structure (CIF):
```
data_Co2PdPt6
_cell_length_a 8.7183
_cell_length_b 3.8949
_cell_length_c 8.2513
_cell_angle_alpha 90.00
_cell_angle_beta 108.55
_cell_angle_gamma 90.00
_space_group_name_H-M_alt 'C 1 2/m 1'
_space_group_IT_number 12
loop_
_space_group_symop_operation_xyz
'x,y,z'
'-x,-y,-z'
'-x,y,-z'
'x,-y,z'
'x+1/2,y+1/2,z'
'-x+1/2,-y+1/2,-z'
'-x+1/2,y+1/2,-z'
'x+1/2,-y+1/2,z'
loop_
_atom_site_label
_atom_site_type_symbol
_atom_site_fract_x
_atom_site_fract_y
_atom_site_fract_z
_atom_site_occupancy
Co1 Co 0.1686 0.0000 0.2237 1
Pd1 Pd 0.0000 0.5000 0.0000 1
Pt1 Pt 0.0026 0.5000 0.6722 1
Pt2 Pt 0.1676 0.0000 0.8915 1
Pt3 Pt 0.1707 0.0000 0.5569 1
```

---

4.
The following is a DFT calculation (PBE-GGA) of an optimized crystal structure of GdTl3.

Output
Size of the total moment: 7.1 μB per formula unit
Excess energy over the best structure of this formula in the dataset: 147 meV per atom
Theoretical density: 11.1 Mg/m³
ΔE_f: -0.117 eV/atom
Density of states at the Fermi level: 14.01 states/eV/cell

Structure (CIF):
```
data_GdTl3
_cell_length_a 7.7281
_cell_length_b 7.7281
_cell_length_c 7.7281
_cell_angle_alpha 90.00
_cell_angle_beta 90.00
_cell_angle_gamma 90.00
_space_group_name_H-M_alt 'F m -3 m'
_space_group_IT_number 225
_space_group_name_Hall '-F 4 2 3'
loop_
_atom_site_label
_atom_site_type_symbol
_atom_site_fract_x
_atom_site_fract_y
_atom_site_fract_z
_atom_site_occupancy
Gd1 Gd 0.0000 0.0000 0.0000 1
Tl1 Tl 0.0000 0.0000 0.5000 1
Tl2 Tl 0.2500 0.2500 0.2500 1
```

---

Q: What is the density of states at the Fermi level in the third record?
A: 20.71 states/eV/cell